Pm6Nd5In | PBE-GGA | optimized geometry

Cell and atoms, written as extended XYZ:
```
12
Lattice="4.873 -0.006 -1.417 -3.304 8.713 -2.325 0.149 -0.456 9.592" Properties=species:S:1:pos:R:3 pbc="T T T"
Pm -1.136 6.251 5.139
Pm 1.864 4.739 6.374
Pm 0.734 7.739 2.474
Pm -0.146 3.512 -0.523
Pm 0.984 0.512 3.376
Pm 2.855 2.000 0.712
Nd -1.013 2.629 5.582
Nd -0.290 7.177 -1.041
Nd 2.008 1.074 6.891
Nd -2.142 5.628 1.685
Nd 0.859 4.125 2.925
In 0.000 0.000 0.000
```

V ... 33.47 A^3/atom
Formation energy ... -60 meV per atom
Crystal system ... orthorhombic